First-principles (PBE) data for a geometry-optimized Nb2BiH2 structure, as listed in Alexandria.

Cell and atoms, written as POSCAR:
```
Nb2BiH2
1.0
6.6955 0.0000 0.0000
0.0000 6.6955 0.0000
0.0000 0.0000 3.2077
Nb Bi H
4 2 4
direct
0.1313 0.3687 0.0000
0.3687 0.8687 0.0000
0.6313 0.1313 0.0000
0.8687 0.6313 0.0000
0.0000 0.0000 0.5000
0.5000 0.5000 0.5000
0.0853 0.5853 0.5000
0.4147 0.0853 0.5000
0.5853 0.9147 0.5000
0.9147 0.4147 0.5000
```

- N(E_F) (states/eV/atom) = 0.7699
- size of the total moment (μB per formula unit) = 0.0
- crystal system = tetragonal
- total energy (eV for the cell shown) = -57.0
- offset from the most stable computed form (kJ/mol of atoms) = 27.0